Entry from Alexandria via LeMat-Bulk: a relaxed structure of PmCdAgTe3 (GGA-PBE).

Output
Its energy relative to the elements, uncorrected is -0.70 eV per atom. Its crystal system is monoclinic.

a = 8.8714 Å, b = 4.3576 Å, c = 9.4926 Å
α = 90.00°, β = 102.83°, γ = 90.00°
Closest atoms and distances in Å follow each position.
Space group P2_1/m (No. 11)
Unique sites:
1 Pm 0.1741 0.2500 0.2384  7 Te 3.19-3.36, 1 Ag 3.50
2 Cd 0.3489 0.7500 0.8318  4 Te 2.90-3.07
3 Ag 0.0817 0.2500 0.5781  4 Te 2.81-2.99, 2 Ag 2.84
4 Te 0.0872 0.2500 0.8757  1 Ag 2.81
5 Te 0.2643 0.7500 0.5066  3 Ag 2.88-2.99, 1 Cd 3.01
6 Te 0.4033 0.7500 0.1443  3 Cd 2.90-3.07, 2 Pm 3.24